1.
The following is a PBE calculation of a geometry-optimized LaBeW2 structure, from the Alexandria database.

Lattice parameters (Å, degrees): 5.1089 5.1089 4.9968 101.39 101.39 34.41
Atoms (fractional coordinates):
La (0.0000, 0.0000, 0.0000)
Be (0.5000, 0.5000, 0.5000)
W (0.2110, 0.2110, 0.6845)
W (0.7890, 0.7890, 0.3155)

SG: No. 12
size of the total moment: 0.000 μB per formula unit
volume: 72.1 Å³/cell
ΔH_f (0 K): 0.622 eV per atom

---

2.
The following is a PBE calculation of a geometry-optimized Cd2HgPt2 structure, from the Alexandria database.

Lattice parameters (Å, degrees): 7.5598 7.5598 7.5598 150.33 150.33 42.46
Atoms (fractional coordinates):
Cd (0.1045, 0.1045, 0.0000)
Cd (0.8955, 0.8955, 0.0000)
Hg (0.5000, 0.5000, 0.0000)
Pt (0.2500, 0.7500, 0.5000)
Pt (0.7500, 0.2500, 0.5000)

SG: No. 139
size of the total moment: 0.000 μB per formula unit
volume: 105.6 Å³/cell
excess energy over the best structure of this formula in the dataset: 0.94 eV/f.u.
ΔH_f (0 K): -0.011 eV per atom

---

3.
The following is a PBE calculation of a geometry-optimized Rb3Mg3Tl8 structure, from the Alexandria database.

Lattice parameters (Å, degrees): 10.0227 10.0227 10.0227 149.84 106.59 81.37
Atoms (fractional coordinates):
Rb (0.0000, 0.0000, 0.0000)
Rb (0.2890, 0.2890, 0.0000)
Rb (0.7110, 0.7110, 0.0000)
Mg (0.3246, 0.5000, 0.8246)
Mg (0.5000, 0.0000, 0.5000)
Mg (0.6754, 0.5000, 0.1754)
Tl (0.0141, 0.6690, 0.3451)
Tl (0.1750, 0.8806, 0.2944)
Tl (0.3239, 0.6690, 0.6549)
Tl (0.4139, 0.1194, 0.2944)
Tl (0.5861, 0.8806, 0.7056)
Tl (0.6761, 0.3310, 0.3451)
Tl (0.8250, 0.1194, 0.7056)
Tl (0.9859, 0.3310, 0.6549)

SG: No. 71
size of the total moment: 0.000 μB per formula unit
volume: 475.0 Å³/cell
ΔH_f (0 K): -0.035 eV per atom

---

4.
The following is a PBE calculation of a geometry-optimized Pa2Ge2Mo structure, from the Alexandria database.

Lattice parameters (Å, degrees): 7.9217 7.9217 5.8722 90.00 90.00 145.49
Atoms (fractional coordinates):
Pa (0.0059, 0.9941, 0.5000)
Pa (0.1994, 0.8006, 0.3011)
Pa (0.8006, 0.1994, 0.8011)
Pa (0.9941, 0.0059, 0.0000)
Ge (0.1788, 0.8212, 0.7954)
Ge (0.4247, 0.5753, 0.7449)
Ge (0.5753, 0.4247, 0.2449)
Ge (0.8212, 0.1788, 0.2954)
Mo (0.3881, 0.6119, 0.2244)
Mo (0.6119, 0.3881, 0.7244)

SG: No. 36
size of the total moment: 0.000 μB per formula unit
volume: 208.8 Å³/cell
excess energy over the best structure of this formula in the dataset: 0.61 eV/f.u.
ΔH_f (0 K): -0.276 eV per atom

---

5.
The following is a PBE calculation of a geometry-optimized TlCu3 structure, from the Alexandria database.

Lattice parameters (Å, degrees): 4.3099 5.5343 5.1248 90.00 90.00 90.00
Atoms (fractional coordinates):
Tl (0.2500, 0.2500, 0.1326)
Tl (0.7500, 0.7500, 0.8674)
Cu (0.2500, 0.0131, 0.6399)
Cu (0.2500, 0.4869, 0.6399)
Cu (0.2500, 0.7500, 0.2363)
Cu (0.7500, 0.2500, 0.7637)
Cu (0.7500, 0.5131, 0.3601)
Cu (0.7500, 0.9869, 0.3601)

SG: No. 59
size of the total moment: 0.000 μB per formula unit
volume: 122.2 Å³/cell
ΔH_f (0 K): 0.188 eV per atom

---

6.
The following is a PBE calculation of a geometry-optimized PrNd8Y2 structure, from the Alexandria database.

Lattice parameters (Å, degrees): 9.6920 9.6920 8.1973 104.70 104.70 31.05
Atoms (fractional coordinates):
Pr (0.0000, 0.0000, 0.0000)
Nd (0.0916, 0.0916, 0.4556)
Nd (0.1823, 0.1823, 0.9098)
Nd (0.3626, 0.3626, 0.8153)
Nd (0.4539, 0.4539, 0.2732)
Nd (0.5461, 0.5461, 0.7268)
Nd (0.6374, 0.6374, 0.1847)
Nd (0.8177, 0.8177, 0.0902)
Nd (0.9084, 0.9084, 0.5444)
Y (0.2727, 0.2727, 0.3648)
Y (0.7273, 0.7273, 0.6352)

SG: No. 12
size of the total moment: 0.000 μB per formula unit
volume: 383.1 Å³/cell
excess energy over the best structure of this formula in the dataset: 0.00 eV/f.u.
ΔH_f (0 K): 0.014 eV per atom

---

7.
The following is a PBE calculation of a geometry-optimized Y2TaOs structure, from the Alexandria database.

Lattice parameters (Å, degrees): 5.3889 5.3889 3.2408 90.00 90.00 114.47
Atoms (fractional coordinates):
Y (0.0000, 0.5000, 0.0000)
Y (0.5000, 0.0000, 0.0000)
Ta (0.0000, 0.0000, 0.5000)
Os (0.5000, 0.5000, 0.5000)

SG: No. 65
size of the total moment: 0.000 μB per formula unit
volume: 85.7 Å³/cell
excess energy over the best structure of this formula in the dataset: 2.05 eV/f.u.
ΔH_f (0 K): 0.444 eV per atom

---

8.
The following is a PBE calculation of a geometry-optimized BeSn2IrCl structure, from the Alexandria database.

Lattice parameters (Å, degrees): 5.1133 5.1133 4.4467 90.00 90.00 90.00
Atoms (fractional coordinates):
Be (0.0000, 0.0000, 0.0000)
Sn (0.0000, 0.5000, 0.5000)
Sn (0.5000, 0.0000, 0.5000)
Ir (0.0000, 0.0000, 0.5000)
Cl (0.5000, 0.5000, 0.0000)

SG: No. 123
size of the total moment: 0.000 μB per formula unit
volume: 116.3 Å³/cell
formation energy from raw total energies: -0.220 eV per atom

---

9.
The following is a PBE calculation of a geometry-optimized Na3HgC structure, from the Alexandria database.

Lattice parameters (Å, degrees): 4.9828 4.9828 4.9828 90.00 90.00 90.00
Atoms (fractional coordinates):
Na (0.0000, 0.0000, 0.5000)
Na (0.0000, 0.5000, 0.0000)
Na (0.5000, 0.0000, 0.0000)
Hg (0.5000, 0.5000, 0.5000)
C (0.0000, 0.0000, 0.0000)

SG: No. 221
size of the total moment: 1.006 μB per formula unit
volume: 123.7 Å³/cell
excess energy over the best structure of this formula in the dataset: 0.00 eV/f.u.
ΔH_f (0 K): 0.656 eV per atom

---

10.
The following is a PBE calculation of a geometry-optimized BaCe2TaN4 structure, from the Alexandria database.

Lattice parameters (Å, degrees): 6.6580 6.6580 12.4601 90.00 90.00 148.93
Atoms (fractional coordinates):
Ba (0.0888, 0.9112, 0.7500)
Ba (0.9112, 0.0888, 0.2500)
Ce (0.3708, 0.6292, 0.5355)
Ce (0.3708, 0.6292, 0.9645)
Ce (0.6292, 0.3708, 0.0355)
Ce (0.6292, 0.3708, 0.4645)
Ta (0.1729, 0.8271, 0.2500)
Ta (0.8271, 0.1729, 0.7500)
N (0.0000, 0.0000, 0.0000)
N (0.0000, 0.0000, 0.5000)
N (0.2565, 0.7435, 0.1202)
N (0.2565, 0.7435, 0.3798)
N (0.4064, 0.5936, 0.7500)
N (0.5936, 0.4064, 0.2500)
N (0.7435, 0.2565, 0.6202)
N (0.7435, 0.2565, 0.8798)

SG: No. 63
size of the total moment: 1.914 μB per formula unit
volume: 285.0 Å³/cell
formation energy from raw total energies: -1.153 eV per atom

---

11.
The following is a PBE calculation of a geometry-optimized Sm2DyZn3 structure, from the Alexandria database.

Lattice parameters (Å, degrees): 3.6131 3.6131 10.8739 90.00 90.00 90.00
Atoms (fractional coordinates):
Sm (0.0000, 0.0000, 0.1691)
Sm (0.0000, 0.0000, 0.8309)
Dy (0.0000, 0.0000, 0.5000)
Zn (0.5000, 0.5000, 0.0000)
Zn (0.5000, 0.5000, 0.3408)
Zn (0.5000, 0.5000, 0.6592)

SG: No. 123
size of the total moment: 0.001 μB per formula unit
volume: 142.0 Å³/cell
ΔH_f (0 K): -0.323 eV per atom

---

12.
The following is a PBE calculation of a geometry-optimized Cs2TmNp3O12 structure, from the Alexandria database.

Lattice parameters (Å, degrees): 7.7696 7.7696 7.7696 61.78 61.78 61.78
Atoms (fractional coordinates):
Cs (0.1223, 0.1223, 0.1223)
Cs (0.8777, 0.8777, 0.8777)
Tm (0.5000, 0.5000, 0.5000)
Np (0.0000, 0.5000, 0.5000)
Np (0.5000, 0.0000, 0.5000)
Np (0.5000, 0.5000, 0.0000)
O (0.1665, 0.5678, 0.5678)
O (0.1871, 0.1871, 0.5688)
O (0.1871, 0.5688, 0.1871)
O (0.4312, 0.8129, 0.8129)
O (0.4322, 0.4322, 0.8335)
O (0.4322, 0.8335, 0.4322)
O (0.5678, 0.1665, 0.5678)
O (0.5678, 0.5678, 0.1665)
O (0.5688, 0.1871, 0.1871)
O (0.8129, 0.4312, 0.8129)
O (0.8129, 0.8129, 0.4312)
O (0.8335, 0.4322, 0.4322)

SG: No. 166
size of the total moment: 2.000 μB per formula unit
volume: 344.9 Å³/cell
formation energy from raw total energies: -2.782 eV per atom